[1]
VASP calculation (PBE-GGA) on a relaxed structure of GeAu.

abc: 2.9890 2.9890 4.8726
angles: 90.00 90.00 120.00
Space group P-6m2 (No. 187)
Asymmetric unit:
Ge  0.0000  0.0000  0.0000
Au  0.3333  0.6667  0.5000

DFT total energy   -3.777 eV/atom

---

[2]
VASP calculation (PBE-GGA) on a relaxed structure of GeAu15.

abc: 8.329 47.143 4.100
angles: 90.00 90.00 90.00
Space group Pccm (No. 49)
Asymmetric unit:
Ge  0.169  0.164  0.000
Au  0.118  0.205  0.500
Au  0.123  0.253  0.000
Au  0.124  0.298  0.500
Au  0.124  0.343  0.000
Au  0.125  0.388  0.500
Au  0.125  0.433  0.000
Au  0.125  0.478  0.500
Au  0.371  0.211  0.000
Au  0.374  0.255  0.500
Au  0.374  0.299  0.000
Au  0.375  0.343  0.500
Au  0.375  0.388  0.000
Au  0.375  0.433  0.500
Au  0.375  0.478  0.000
Au  0.382  0.164  0.500

DFT total energy   -3.305 eV/atom
Offset from the most stable computed form   0.0000 eV per atom

---

[3]
VASP calculation (PBE-GGA) on a relaxed structure of GeAu.

abc: 3.356 3.356 3.356
angles: 90.00 90.00 90.00
Space group Pm-3m (No. 221)
Asymmetric unit:
Ge  0.000  0.000  0.000
Au  0.500  0.500  0.500

DFT total energy   -3.820 eV/atom

---

[4]
VASP calculation (PBE-GGA) on a relaxed structure of GeAu7.

abc: 2.933 2.933 47.441
angles: 90.00 90.00 90.00
Space group P4/nmm (No. 129, origin choice 2)
Asymmetric unit:
Ge  0.250  0.250  0.170
Au  0.250  0.250  0.257
Au  0.250  0.250  0.346
Au  0.250  0.250  0.434
Au  0.250  0.250  0.522
Au  0.250  0.250  0.610
Au  0.250  0.250  0.699
Au  0.250  0.250  0.789

DFT total energy   -3.392 eV/atom
Offset from the most stable computed form   0.0000 eV per atom

---

[5]
VASP calculation (PBE-GGA) on a relaxed structure of GeAu15.

abc: 5.086 37.704 5.085
angles: 90.00 110.79 90.00
Space group P2/c (No. 13)
Asymmetric unit:
Ge  0.000  0.209  0.250
Au  0.000  0.240  0.750
Au  0.000  0.282  0.250
Au  0.000  0.322  0.750
Au  0.000  0.362  0.250
Au  0.000  0.402  0.750
Au  0.000  0.441  0.250
Au  0.000  0.480  0.750
Au  0.500  0.207  0.750
Au  0.500  0.240  0.250
Au  0.500  0.284  0.750
Au  0.500  0.322  0.250
Au  0.500  0.362  0.750
Au  0.500  0.402  0.250
Au  0.500  0.441  0.750
Au  0.500  0.481  0.250

DFT total energy   -3.289 eV/atom
Offset from the most stable computed form   0.0158 eV per atom

---

[6]
VASP calculation (PBE-GGA) on a relaxed structure of Ge5Au2.

abc: 4.6303 4.6303 22.4507
angles: 90.00 90.00 120.00
Space group R3m (No. 160, hexagonal axes)
Asymmetric unit:
Ge  0.0000  0.0000  0.0000
Ge  0.0000  0.0000  0.1175
Ge  0.0000  0.0000  0.2466
Ge  0.0000  0.0000  0.4976
Ge  0.0000  0.0000  0.6300
Au  0.0000  0.0000  0.3785
Au  0.0000  0.0000  0.8655

DFT total energy   -3.998 eV/atom

---

[7]
VASP calculation (PBE-GGA) on a relaxed structure of GeAu15.

abc: 5.807 4.148 37.864
angles: 90.00 90.02 90.00
Space group P2_1/m (No. 11)
Asymmetric unit:
Ge  0.126  0.250  0.292
Au  0.122  0.250  0.739
Au  0.124  0.250  0.822
Au  0.124  0.250  0.902
Au  0.125  0.250  0.059
Au  0.125  0.250  0.138
Au  0.125  0.250  0.218
Au  0.125  0.250  0.980
Au  0.371  0.750  0.261
Au  0.374  0.750  0.098
Au  0.375  0.750  0.020
Au  0.375  0.750  0.178
Au  0.375  0.750  0.707
Au  0.375  0.750  0.784
Au  0.375  0.750  0.862
Au  0.375  0.750  0.941

DFT total energy   -3.288 eV/atom
Offset from the most stable computed form   0.0169 eV per atom

---

[8]
VASP calculation (PBE-GGA) on a relaxed structure of GeAu3.

abc: 4.895 5.947 5.035
angles: 90.00 90.00 90.00
Space group Pmmn (No. 59, origin choice 2)
Asymmetric unit:
Ge  0.250  0.250  0.171
Au  0.250  0.000  0.667
Au  0.250  0.750  0.166

DFT total energy   -3.566 eV/atom

---

[9]
VASP calculation (PBE-GGA) on a relaxed structure of GeAu10.

abc: 9.061 4.121 35.794
angles: 90.00 90.60 90.00
Space group C2/m (No. 12)
Asymmetric unit:
Ge  0.156  0.000  0.226
Au  0.044  0.500  0.268
Au  0.049  0.000  0.407
Au  0.050  0.000  0.674
Au  0.051  0.500  0.540
Au  0.149  0.500  0.353
Au  0.150  0.000  0.486
Au  0.150  0.000  0.758
Au  0.151  0.500  0.621
Au  0.247  0.000  0.300
Au  0.250  0.000  0.567

DFT total energy   -3.330 eV/atom

---

[10]
VASP calculation (PBE-GGA) on a relaxed structure of GeAu.

abc: 5.816 5.816 5.816
angles: 90.00 90.00 90.00
Space group F-43m (No. 216)
Asymmetric unit:
Ge  0.000  0.000  0.000
Au  0.250  0.250  0.250

DFT total energy   -3.719 eV/atom

---

[11]
VASP calculation (PBE-GGA) on a relaxed structure of GeAu2.

abc: 7.860 7.860 7.860
angles: 90.00 90.00 90.00
Space group Fd-3m (No. 227, origin choice 2)
Asymmetric unit:
Ge  0.125  0.125  0.125
Au  0.000  0.000  0.500

DFT total energy   -3.507 eV/atom

---

[12]
VASP calculation (PBE-GGA) on a relaxed structure of GeAu15.

abc: 5.819 2.926 47.228
angles: 90.00 90.10 90.00
Space group P2_1/m (No. 11)
Asymmetric unit:
Ge  0.126  0.250  0.165
Au  0.120  0.250  0.792
Au  0.125  0.250  0.254
Au  0.125  0.250  0.344
Au  0.125  0.250  0.433
Au  0.125  0.250  0.522
Au  0.125  0.250  0.701
Au  0.126  0.250  0.612
Au  0.370  0.750  0.208
Au  0.375  0.750  0.299
Au  0.375  0.750  0.478
Au  0.375  0.750  0.567
Au  0.375  0.750  0.657
Au  0.375  0.750  0.747
Au  0.375  0.750  0.836
Au  0.376  0.750  0.388

DFT total energy   -3.300 eV/atom
Offset from the most stable computed form   0.0053 eV per atom